Density functional theory data (PBE) for a relaxed structure of LuSn2Pd.

- magnetic moment (μB per cell) = 0.0
- E_form (eV per atom) = -0.4545

Geometry as CIF:
```
data_LuSn2Pd
_space_group_name_H-M_alt 'P 4/m m m'
_space_group_IT_number 123
_space_group_name_Hall '-P 4 2'
_cell_length_a 3.385
_cell_length_b 3.385
_cell_length_c 7.610
_cell_angle_alpha 90.00
_cell_angle_beta 90.00
_cell_angle_gamma 90.00
loop_
_atom_site_label
_atom_site_type_symbol
_atom_site_fract_x
_atom_site_fract_y
_atom_site_fract_z
Lu1 Lu 0.000 0.000 0.000
Sn1 Sn 0.500 0.500 0.282
Pd1 Pd 0.000 0.000 0.500
```